(1)
Material: RbZnBiH
Method: DFT, PBE-GGA
State: relaxed

a = 3.7057 Å, b = 4.5409 Å, c = 7.1537 Å
α = 96.92°, β = 90.00°, γ = 114.08°
Positions (direct):
Rb (0.9108, 0.8216, 0.7831)
Zn (0.2514, 0.5028, 0.1651)
Bi (0.5676, 0.1352, 0.3577)
H (0.2245, 0.4491, 0.9333)

Calculated values
total magnetic moment: 0.0 μB per formula unit
total energy: -0.1833 Ry/atom
V: 108.9 Å³ per cell

(2)
Material: Ba2MgCd3F12
Method: DFT, PBE-GGA
State: relaxed

a = 7.5708 Å, b = 7.5708 Å, c = 7.5708 Å
α = 59.06°, β = 59.06°, γ = 59.06°
Positions (direct):
Ba (0.6368, 0.6368, 0.6368)
Ba (0.3632, 0.3632, 0.3632)
Mg (0.0000, 0.0000, 0.0000)
Cd (0.5000, 0.0000, 0.0000)
Cd (0.0000, 0.5000, 0.0000)
Cd (0.0000, 0.0000, 0.5000)
F (0.3759, 0.3759, 0.9019)
F (0.9213, 0.9213, 0.3161)
F (0.3161, 0.9213, 0.9213)
F (0.9019, 0.3759, 0.3759)
F (0.9213, 0.3161, 0.9213)
F (0.3759, 0.9019, 0.3759)
F (0.6241, 0.6241, 0.0981)
F (0.0787, 0.0787, 0.6839)
F (0.6839, 0.0787, 0.0787)
F (0.0981, 0.6241, 0.6241)
F (0.0787, 0.6839, 0.0787)
F (0.6241, 0.0981, 0.6241)

Calculated values
total magnetic moment: 0.0 μB per formula unit
ΔE_f (raw): -50.9 eV/f.u.
total energy: -0.3330 Ry/atom
V: 300.2 Å³ per cell

(3)
Material: ThInSb2
Method: DFT, PBE-GGA
State: relaxed

a = 4.6572 Å, b = 4.6572 Å, c = 9.4092 Å
α = 75.67°, β = 75.67°, γ = 60.00°
Positions (direct):
Sb (0.1043, 0.1043, 0.6870)
Sb (0.8957, 0.8957, 0.3130)
Th (0.5000, 0.5000, 0.5000)
In (0.0000, 0.0000, 0.0000)

Calculated values
energy above the lowest structure with this stoichiometry: 0.450 eV per atom
total magnetic moment: 0.0 μB per formula unit
ΔE_f (raw): -0.3 eV/f.u.
total energy: -0.3430 Ry/atom
V: 169.4 Å³ per cell

(4)
Material: Tb3TmMg6
Method: DFT, PBE-GGA
State: relaxed

a = 5.2636 Å, b = 9.2631 Å, c = 11.2393 Å
α = 105.48°, β = 90.00°, γ = 90.00°
Positions (direct):
Tb (0.2500, 0.5423, 0.3970)
Tb (0.7500, 0.4577, 0.6030)
Tb (0.2500, 0.3516, 0.7944)
Tb (0.7500, 0.6484, 0.2056)
Tb (0.2500, 0.7497, 0.0052)
Tb (0.7500, 0.2503, 0.9948)
Tm (0.2500, 0.9513, 0.5991)
Tm (0.7500, 0.0487, 0.4009)
Mg (0.2500, 0.4411, 0.1002)
Mg (0.7500, 0.5589, 0.8998)
Mg (0.2500, 0.1450, 0.1941)
Mg (0.7500, 0.8550, 0.8059)
Mg (0.2500, 0.6649, 0.7065)
Mg (0.7500, 0.3351, 0.2935)
Mg (0.2500, 0.2416, 0.4899)
Mg (0.7500, 0.7584, 0.5101)
Mg (0.2500, 0.8583, 0.3033)
Mg (0.7500, 0.1417, 0.6967)
Mg (0.2500, 0.0457, 0.8980)
Mg (0.7500, 0.9543, 0.1020)

Calculated values
total magnetic moment: 0.2 μB per formula unit
total energy: -0.2098 Ry/atom
V: 528.1 Å³ per cell

(5)
Material: BaPdO5
Method: DFT, PBE-GGA
State: relaxed

a = 5.5700 Å, b = 4.8991 Å, c = 7.1712 Å
α = 87.43°, β = 90.00°, γ = 90.00°
Positions (direct):
Ba (0.6365, 0.5000, 0.7500)
Ba (0.3635, 0.5000, 0.2500)
Pd (0.0000, 0.0000, 0.0000)
Pd (0.0000, 0.0000, 0.5000)
O (0.2992, 0.0760, 0.6655)
O (0.2992, 0.9240, 0.8345)
O (0.7008, 0.9240, 0.3345)
O (0.7008, 0.0760, 0.1655)
O (0.0744, 0.4110, 0.9453)
O (0.0744, 0.5890, 0.5547)
O (0.9256, 0.5890, 0.0547)
O (0.9256, 0.4110, 0.4453)
O (0.8165, 0.0000, 0.7500)
O (0.1835, 0.0000, 0.2500)

Calculated values
energy above the lowest structure with this stoichiometry: 0.000 eV per atom
total magnetic moment: 0.0 μB per formula unit
ΔE_f (raw): -6.5 eV/f.u.
total energy: -0.4028 Ry/atom
V: 195.5 Å³ per cell

(6)
Material: LiYTe
Method: DFT, PBE-GGA
State: relaxed

a = 5.8262 Å, b = 5.8209 Å, c = 3.7923 Å
α = 71.07°, β = 70.92°, γ = 38.00°
Positions (direct):
Li (0.9727, 0.9727, 0.0273)
Te (0.3543, 0.3543, 0.6457)
Y (0.6730, 0.6730, 0.3270)

Calculated values
energy above the lowest structure with this stoichiometry: 0.222 eV per atom
total magnetic moment: 0.0 μB per formula unit
ΔE_f (raw): -2.0 eV/f.u.
total energy: -0.3310 Ry/atom
V: 74.3 Å³ per cell

(7)
Material: Cs3K4Na4
Method: DFT, PBE-GGA
State: relaxed

a = 6.9896 Å, b = 4.9061 Å, c = 22.5657 Å
α = 96.24°, β = 98.91°, γ = 90.00°
Positions (direct):
Cs (0.3575, 0.8575, 0.7149)
Cs (0.6425, 0.1425, 0.2851)
Cs (0.0000, 0.0000, 0.0000)
K (0.2606, 0.2606, 0.5212)
K (0.0924, 0.5924, 0.1847)
K (0.9076, 0.4076, 0.8153)
K (0.7394, 0.7394, 0.4788)
Na (0.8159, 0.3159, 0.6318)
Na (0.4562, 0.4562, 0.9125)
Na (0.5438, 0.5438, 0.0875)
Na (0.1841, 0.6841, 0.3682)

Calculated values
energy above the lowest structure with this stoichiometry: 0.007 eV per atom
total magnetic moment: 0.0 μB per formula unit
total energy: -0.0790 Ry/atom
V: 759.8 Å³ per cell

(8)
Material: Ba4Si2F
Method: DFT, PBE-GGA
State: relaxed

a = 5.3049 Å, b = 5.3049 Å, c = 9.5806 Å
α = 106.07°, β = 106.07°, γ = 90.00°
Positions (direct):
Si (0.6276, 0.6276, 0.2551)
Si (0.3724, 0.3724, 0.7449)
Ba (0.8130, 0.8130, 0.6259)
Ba (0.1870, 0.1870, 0.3741)
Ba (0.0000, 0.5000, 0.0000)
Ba (0.5000, 0.0000, 0.0000)
F (0.0000, 0.0000, 0.0000)

Calculated values
total magnetic moment: 0.0 μB per formula unit
ΔE_f (raw): -6.7 eV/f.u.
total energy: -0.2846 Ry/atom
V: 248.1 Å³ per cell

(9)
Material: CsKGaTe2
Method: DFT, PBE-GGA
State: relaxed

a = 7.3559 Å, b = 7.5020 Å, c = 8.8055 Å
α = 115.21°, β = 90.00°, γ = 90.00°
Positions (direct):
Cs (0.2439, 0.7500, 0.5000)
Cs (0.7561, 0.2500, 0.5000)
K (0.5000, 0.7500, 0.0000)
K (0.5000, 0.2500, 0.0000)
Ga (0.0000, 0.0000, 0.0000)
Ga (0.0000, 0.5000, 0.0000)
Te (0.7726, 0.8638, 0.7276)
Te (0.7726, 0.6362, 0.2724)
Te (0.2274, 0.3638, 0.7276)
Te (0.2274, 0.1362, 0.2724)

Calculated values
total magnetic moment: 0.0 μB per formula unit
ΔE_f (raw): -2.8 eV/f.u.
total energy: -0.2074 Ry/atom
V: 439.6 Å³ per cell

(10)
Material: ScPRu2
Method: DFT, PBE-GGA
State: relaxed

a = 5.0296 Å, b = 5.0296 Å, c = 2.9188 Å
α = 73.46°, β = 73.46°, γ = 111.34°
Positions (direct):
Sc (0.0000, 0.0000, 0.5000)
P (0.5000, 0.5000, 0.5000)
Ru (0.0000, 0.5000, 0.0000)
Ru (0.5000, 0.0000, 0.0000)

Calculated values
total magnetic moment: 0.0 μB per formula unit
total energy: -0.5772 Ry/atom
V: 59.4 Å³ per cell

(11)
Material: AgPt3
Method: DFT, PBE-GGA
State: relaxed

a = 5.6507 Å, b = 5.6452 Å, c = 4.6748 Å
α = 90.00°, β = 90.00°, γ = 119.97°
Positions (direct):
Ag (0.0163, 0.5082, 0.0000)
Ag (0.3170, 0.6585, 0.5000)
Pt (0.0069, 0.0034, 0.0000)
Pt (0.5154, 0.4978, 0.0000)
Pt (0.5154, 0.0175, 0.0000)
Pt (0.3264, 0.1632, 0.5000)
Pt (0.8180, 0.6688, 0.5000)
Pt (0.8180, 0.1491, 0.5000)

Calculated values
total magnetic moment: 0.0 μB per formula unit
total energy: -0.3815 Ry/atom
V: 129.2 Å³ per cell

(12)
Material: Hf2MgPa
Method: DFT, PBE-GGA
State: relaxed

a = 4.2496 Å, b = 4.6243 Å, c = 4.6243 Å
α = 90.00°, β = 90.00°, γ = 90.00°
Positions (direct):
Mg (0.5000, 0.0000, 0.0000)
Pa (0.5000, 0.5000, 0.5000)
Hf (0.0000, 0.0000, 0.5000)
Hf (0.0000, 0.5000, 0.0000)

Calculated values
energy above the lowest structure with this stoichiometry: 0.126 eV per atom
total magnetic moment: 0.0 μB per formula unit
total energy: -0.5563 Ry/atom
V: 90.9 Å³ per cell

(13)
Material: SnP2SF
Method: DFT, PBE-GGA
State: relaxed

a = 5.1335 Å, b = 5.1335 Å, c = 4.9293 Å
α = 90.00°, β = 90.00°, γ = 90.00°
Positions (direct):
P (0.0000, 0.5000, 0.0000)
P (0.5000, 0.0000, 0.0000)
S (0.0000, 0.0000, 0.5000)
Sn (0.0000, 0.0000, 0.0000)
F (0.5000, 0.5000, 0.5000)

Calculated values
energy above the lowest structure with this stoichiometry: 0.470 eV per atom
total magnetic moment: 1.0 μB per formula unit
ΔE_f (raw): 4.5 eV/f.u.
total energy: -0.2400 Ry/atom
V: 129.9 Å³ per cell